Entry 1:
PBE DyHoTeO2, optimized geometry; spin magnetization = 0.00 μB/cell; space group = P2_1/m; energy relative to the elements, uncorrected = -2.984 eV per atom
1.0
-0.302 -3.834 1.318
6.756 -0.375 0.456
-2.516 2.553 6.848
Dy Ho Te O
2 2 2 4
direct
0.250 0.668 0.922
0.750 0.332 0.078
0.250 0.662 0.411
0.750 0.338 0.589
0.750 0.952 0.241
0.250 0.048 0.759
0.750 0.519 0.877
0.250 0.493 0.621
0.750 0.507 0.379
0.250 0.481 0.123

---

Entry 2:
PBE DyHoTe2O, optimized geometry; spin magnetization = 0.00 μB/cell; space group = P4/nmm; energy relative to the elements, uncorrected = -2.065 eV per atom
1.0
4.112 0.000 0.000
0.000 4.112 0.000
0.000 0.000 15.788
Te Dy O Ho
4 2 2 2
direct
0.500 0.000 0.917
0.000 0.500 0.684
0.000 0.500 0.083
0.500 0.000 0.316
0.500 0.000 0.565
0.000 0.500 0.435
0.000 0.000 0.500
0.500 0.500 0.500
0.000 0.500 0.865
0.500 0.000 0.135

---

> What is the formula in the second record?

DyHoTe2O

---

> Look up the spin magnetization of the second one.

0.00 μB/cell

---

> What is the energy relative to the elements, uncorrected in the first record?

-2.984 eV per atom

---

> What is the formula in the second record?

DyHoTe2O